1.
# AcCd3Pd8, optimized geometry, DFT PBE-GGA
# E_form   -4.45 eV/f.u.
data_AcCd3Pd8
_chemical_formula_sum 'Ac1 Cd3 Pd8'
_cell_length_a 5.4438
_cell_length_b 5.4438
_cell_length_c 8.8428
_cell_angle_alpha 90.00
_cell_angle_beta 90.00
_cell_angle_gamma 120.00
_symmetry_space_group_name_H-M 'P 3 m 1'
_symmetry_Int_Tables_number 156
_symmetry_space_group_name_Hall 'P 3 -2"'
loop_
_atom_site_label
_atom_site_type_symbol
_atom_site_fract_x
_atom_site_fract_y
_atom_site_fract_z
Ac1 Ac 0.0000 0.0000 0.0000
Cd1 Cd 0.0000 0.0000 0.3991
Cd2 Cd 0.6667 0.3333 0.4767
Cd3 Cd 0.6667 0.3333 0.8229
Pd1 Pd 0.1652 0.3303 0.6796
Pd2 Pd 0.3333 0.6667 0.4314
Pd3 Pd 0.3333 0.6667 0.9314
Pd4 Pd 0.5025 0.0051 0.1874



2.
# TbTi2Ga4, optimized geometry, DFT PBE-GGA
# E_form   -3.75 eV/f.u.
# Relative energy among the computed polymorphs   0.00 kcal/mol of atoms
data_TbTi2Ga4
_chemical_formula_sum 'Tb2 Ti4 Ga8'
_cell_length_a 6.7843
_cell_length_b 6.7843
_cell_length_c 5.4443
_cell_angle_alpha 90.00
_cell_angle_beta 90.00
_cell_angle_gamma 90.00
_symmetry_space_group_name_H-M 'I 4/m m m'
_symmetry_Int_Tables_number 139
_symmetry_space_group_name_Hall '-I 4 2'
loop_
_atom_site_label
_atom_site_type_symbol
_atom_site_fract_x
_atom_site_fract_y
_atom_site_fract_z
Tb1 Tb 0.0000 0.0000 0.0000
Ti1 Ti 0.0000 0.5000 0.2500
Ga1 Ga 0.1972 0.1972 0.5000



3.
# Mg6ZnAu, optimized geometry, DFT PBE-GGA
# E_form   -1.40 eV/f.u.
data_Mg6ZnAu
_chemical_formula_sum 'Mg12 Zn2 Au2'
_cell_length_a 4.8465
_cell_length_b 4.8465
_cell_length_c 13.7407
_cell_angle_alpha 90.00
_cell_angle_beta 90.00
_cell_angle_gamma 90.00
_symmetry_space_group_name_H-M 'I 4/m m m'
_symmetry_Int_Tables_number 139
_symmetry_space_group_name_Hall '-I 4 2'
loop_
_atom_site_label
_atom_site_type_symbol
_atom_site_fract_x
_atom_site_fract_y
_atom_site_fract_z
Mg1 Mg 0.0000 0.0000 0.2486
Mg2 Mg 0.0000 0.5000 0.1106
Zn1 Zn 0.0000 0.0000 0.5000
Au1 Au 0.0000 0.0000 0.0000



4.
# ZrBe2Co2, optimized geometry, DFT PBE-GGA
# E_form   -1.18 eV/f.u.
# Relative energy among the computed polymorphs   0.75 kcal/mol of atoms
data_ZrBe2Co2
_chemical_formula_sum 'Zr4 Be8 Co8'
_cell_length_a 3.6752
_cell_length_b 3.6752
_cell_length_c 17.5762
_cell_angle_alpha 90.00
_cell_angle_beta 90.00
_cell_angle_gamma 90.00
_symmetry_space_group_name_H-M 'I 4/m m m'
_symmetry_Int_Tables_number 139
_symmetry_space_group_name_Hall '-I 4 2'
loop_
_atom_site_label
_atom_site_type_symbol
_atom_site_fract_x
_atom_site_fract_y
_atom_site_fract_z
Zr1 Zr 0.0000 0.0000 0.1218
Be1 Be 0.0000 0.0000 0.4342
Be2 Be 0.0000 0.5000 0.2500
Co1 Co 0.0000 0.0000 0.3113
Co2 Co 0.0000 0.5000 0.0000



5.
# HgOs2O8, optimized geometry, DFT PBE-GGA
# Formation energy without anion corrections   -870 meV/atom
data_HgOs2O8
_chemical_formula_sum 'Hg2 Os4 O16'
_cell_length_a 10.6452
_cell_length_b 6.1077
_cell_length_c 8.6417
_cell_angle_alpha 90.00
_cell_angle_beta 113.96
_cell_angle_gamma 90.00
_symmetry_space_group_name_H-M 'C 1 2/m 1'
_symmetry_Int_Tables_number 12
_symmetry_space_group_name_Hall '-C 2y'
loop_
_atom_site_label
_atom_site_type_symbol
_atom_site_fract_x
_atom_site_fract_y
_atom_site_fract_z
Hg1 Hg 0.0000 0.0000 0.0000
Os1 Os 0.2352 0.0000 0.7096
O1 O 0.0879 0.5000 0.2154
O2 O 0.1629 0.0000 0.4904
O3 O 0.1837 0.2297 0.7847



Calculated calculated volume in order - 226.9 250.6 322.7 237.4 513.4 Å³ per cell
Calculated total moment in order - 0.0 0.0 0.0 0.0 0.0 μB per formula unit